The following is a PBE calculation of a geometry-optimized Ga2NiOs structure, from Alexandria.

Output
- Magnetization: 0.00 μB per formula unit
- Crystal system: tetragonal
- E above lowest polymorph: 0.8 kJ per mole of atoms
- Mass density: 12031 kg/m3
- Energy of formation from the pure elements: -0.151 eV per atom

Cell lengths 3.063, 3.063, 5.715 Å; angles 90.00, 90.00, 90.00 degrees
Positions (direct):
Ga1 0.000 0.000 0.244
Ga2 0.000 0.000 0.756
Ni1 0.500 0.500 0.000
Os1 0.500 0.500 0.500